Entry 1:
Material: Hf2MnAu2
Method: DFT, PBE
State: relaxed

Lattice parameters (Å, degrees): 3.6161 3.6161 15.3835 90.00 90.00 90.00
Closest atoms and distances in Å follow each position.
Atoms (fractional coordinates):
Hf (0.0000, 0.0000, 0.0937)  1 Hf 2.88, 4 Mn 2.94, 4 Au 3.01
Hf (0.0000, 0.0000, 0.9063)  1 Hf 2.88, 4 Mn 2.94, 4 Au 3.01
Hf (0.5000, 0.5000, 0.4063)  1 Hf 2.88, 4 Mn 2.94, 4 Au 3.01
Hf (0.5000, 0.5000, 0.5937)  1 Hf 2.88, 4 Mn 2.94, 4 Au 3.01
Mn (0.0000, 0.0000, 0.5000)  8 Hf 2.94
Mn (0.5000, 0.5000, 0.0000)  8 Hf 2.94
Au (0.0000, 0.5000, 0.2500)  4 Au 2.56
Au (0.0000, 0.5000, 0.7500)  4 Au 2.56
Au (0.5000, 0.0000, 0.2500)  4 Au 2.56
Au (0.5000, 0.0000, 0.7500)  4 Au 2.56

Calculated values
* DFT formation energy: 0.3177 eV/atom
* symmetry: No. 139
* crystal system: tetragonal
* energy: -6.809 eV/atom

***

Entry 2:
Material: Pu3As5S12
Method: DFT, PBE
State: relaxed

Lattice parameters (Å, degrees): 13.4567 13.4567 13.4567 109.47 109.47 109.47
Closest atoms and distances in Å follow each position.
Atoms (fractional coordinates):
Pu (0.1250, 0.2500, 0.3750)  8 S 2.92-2.96
Pu (0.1250, 0.3750, 0.7500)  8 S 2.92-2.96
Pu (0.2500, 0.3750, 0.1250)  8 S 2.92-2.96
Pu (0.2500, 0.8750, 0.6250)  8 S 2.92-2.96
Pu (0.3750, 0.1250, 0.2500)  8 S 2.92-2.96
Pu (0.3750, 0.7500, 0.1250)  8 S 2.92-2.96
Pu (0.6250, 0.2500, 0.8750)  8 S 2.92-2.96
Pu (0.6250, 0.8750, 0.7500)  8 S 2.92-2.96
Pu (0.7500, 0.1250, 0.3750)  8 S 2.92-2.96
Pu (0.7500, 0.6250, 0.8750)  8 S 2.92-2.96
Pu (0.8750, 0.6250, 0.2500)  8 S 2.92-2.96
Pu (0.8750, 0.7500, 0.6250)  8 S 2.92-2.96
As (0.0000, 0.0000, 0.0000)  6 S 2.56
As (0.0000, 0.0000, 0.5000)  6 S 2.56
As (0.0000, 0.5000, 0.0000)  6 S 2.56
As (0.0000, 0.5000, 0.5000)  6 S 2.56
As (0.1250, 0.7500, 0.8750)  4 S 2.43
As (0.1250, 0.8750, 0.2500)  4 S 2.43
As (0.2500, 0.1250, 0.8750)  4 S 2.43
As (0.2500, 0.6250, 0.3750)  4 S 2.43
As (0.3750, 0.2500, 0.6250)  4 S 2.43
As (0.3750, 0.6250, 0.7500)  4 S 2.43
As (0.5000, 0.0000, 0.0000)  6 S 2.56
As (0.5000, 0.0000, 0.5000)  6 S 2.56
As (0.5000, 0.5000, 0.0000)  6 S 2.56
As (0.5000, 0.5000, 0.5000)  6 S 2.56
As (0.6250, 0.3750, 0.2500)  4 S 2.43
As (0.6250, 0.7500, 0.3750)  4 S 2.43
As (0.7500, 0.3750, 0.6250)  4 S 2.43
As (0.7500, 0.8750, 0.1250)  4 S 2.43
As (0.8750, 0.1250, 0.7500)  4 S 2.43
As (0.8750, 0.2500, 0.1250)  4 S 2.43
S (0.0410, 0.2134, 0.1293)  2 As 2.43-2.56
S (0.0410, 0.3276, 0.9117)  2 As 2.43-2.56
S (0.0841, 0.7134, 0.6724)  2 As 2.43-2.56
S (0.0841, 0.8707, 0.4117)  2 As 2.43-2.56
S (0.0883, 0.6293, 0.4159)  2 As 2.43-2.56
S (0.0883, 0.9590, 0.6724)  2 As 2.43-2.56
S (0.1293, 0.0410, 0.2134)  2 As 2.43-2.56
S (0.1293, 0.5883, 0.9159)  2 As 2.43-2.56
S (0.1724, 0.2134, 0.5841)  2 As 2.43-2.56
S (0.1724, 0.4590, 0.5883)  2 As 2.43-2.56
S (0.2134, 0.1293, 0.0410)  2 As 2.43-2.56
S (0.2134, 0.5841, 0.1724)  2 As 2.43-2.56
S (0.2866, 0.3276, 0.9159)  2 As 2.43-2.56
S (0.2866, 0.4590, 0.3707)  2 As 2.43-2.56
S (0.3276, 0.9117, 0.0410)  2 As 2.43-2.56
S (0.3276, 0.9159, 0.2866)  2 As 2.43-2.56
S (0.3707, 0.2866, 0.4590)  2 As 2.43-2.56
S (0.3707, 0.5841, 0.9117)  2 As 2.43-2.56
S (0.4117, 0.0841, 0.8707)  2 As 2.43-2.56
S (0.4117, 0.8276, 0.5410)  2 As 2.43-2.56
S (0.4159, 0.0883, 0.6293)  2 As 2.43-2.56
S (0.4159, 0.8276, 0.7866)  2 As 2.43-2.56
S (0.4590, 0.3707, 0.2866)  2 As 2.43-2.56
S (0.4590, 0.5883, 0.1724)  2 As 2.43-2.56
S (0.5410, 0.4117, 0.8276)  2 As 2.43-2.56
S (0.5410, 0.6293, 0.7134)  2 As 2.43-2.56
S (0.5841, 0.1724, 0.2134)  2 As 2.43-2.56
S (0.5841, 0.9117, 0.3707)  2 As 2.43-2.56
S (0.5883, 0.1724, 0.4590)  2 As 2.43-2.56
S (0.5883, 0.9159, 0.1293)  2 As 2.43-2.56
S (0.6293, 0.4159, 0.0883)  2 As 2.43-2.56
S (0.6293, 0.7134, 0.5410)  2 As 2.43-2.56
S (0.6724, 0.0841, 0.7134)  2 As 2.43-2.56
S (0.6724, 0.0883, 0.9590)  2 As 2.43-2.56
S (0.7134, 0.5410, 0.6293)  2 As 2.43-2.56
S (0.7134, 0.6724, 0.0841)  2 As 2.43-2.56
S (0.7866, 0.4159, 0.8276)  2 As 2.43-2.56
S (0.7866, 0.8707, 0.9590)  2 As 2.43-2.56
S (0.8276, 0.5410, 0.4117)  2 As 2.43-2.56
S (0.8276, 0.7866, 0.4159)  2 As 2.43-2.56
S (0.8707, 0.4117, 0.0841)  2 As 2.43-2.56
S (0.8707, 0.9590, 0.7866)  2 As 2.43-2.56
S (0.9117, 0.0410, 0.3276)  2 As 2.43-2.56
S (0.9117, 0.3707, 0.5841)  2 As 2.43-2.56
S (0.9159, 0.1293, 0.5883)  2 As 2.43-2.56
S (0.9159, 0.2866, 0.3276)  2 As 2.43-2.56
S (0.9590, 0.6724, 0.0883)  2 As 2.43-2.56
S (0.9590, 0.7866, 0.8707)  2 As 2.43-2.56

Calculated values
* E_form (uncorrected): -10.908 eV per formula unit
* symmetry: No. 230
* crystal system: cubic
* energy: -6.334 eV/atom

***

Entry 3:
Material: LaY2ErTm5
Method: DFT, PBE
State: relaxed

Lattice parameters (Å, degrees): 9.6534 9.6534 9.6534 125.20 125.20 81.20
Closest atoms and distances in Å follow each position.
Atoms (fractional coordinates):
La (0.2500, 0.2500, 0.0000)  10 Tm 3.63-3.66
La (0.7500, 0.7500, 0.0000)  10 Tm 3.63-3.66
Y (0.1134, 0.6133, 0.7267)  1 Y 2.85, 2 Tm 2.99
Y (0.3866, 0.1134, 0.5000)  1 Y 2.85, 2 Tm 2.99
Y (0.6133, 0.8866, 0.5000)  1 Y 2.85, 2 Tm 2.99
Y (0.8866, 0.3866, 0.2733)  1 Y 2.85, 2 Tm 2.99
Er (0.2500, 0.7500, 0.5000)  4 Tm 3.11
Er (0.7500, 0.2500, 0.5000)  4 Tm 3.11
Tm (0.0000, 0.0000, 0.0000)  4 Y 3.58, 2 La 3.66, 8 Tm 3.73
Tm (0.0733, 0.1620, 0.5000)  1 Y 2.99, 1 Er 3.11
Tm (0.1620, 0.6620, 0.0886)  1 Y 2.99, 1 Er 3.11
Tm (0.3380, 0.4267, 0.5000)  1 Y 2.99, 1 Er 3.11
Tm (0.4267, 0.9267, 0.0886)  1 Y 2.99, 1 Er 3.11
Tm (0.5000, 0.5000, 0.0000)  4 Y 3.58, 2 La 3.66, 8 Tm 3.73
Tm (0.5733, 0.0733, 0.9114)  1 Y 2.99, 1 Er 3.11
Tm (0.6620, 0.5733, 0.5000)  1 Y 2.99, 1 Er 3.11
Tm (0.8380, 0.3380, 0.9114)  1 Y 2.99, 1 Er 3.11
Tm (0.9267, 0.8380, 0.5000)  1 Y 2.99, 1 Er 3.11

Calculated values
* DFT formation energy: 0.2976 eV/atom
* symmetry: No. 140
* crystal system: tetragonal
* energy: -4.677 eV/atom

***

Entry 4:
Material: AlPd6Au3
Method: DFT, PBE
State: relaxed

Lattice parameters (Å, degrees): 8.6537 4.0890 9.0567 90.00 93.89 90.00
Closest atoms and distances in Å follow each position.
Atoms (fractional coordinates):
Al (0.0625, 0.2500, 0.3790)  10 Pd 2.55-2.81
Al (0.9375, 0.7500, 0.6210)  10 Pd 2.55-2.81
Pd (0.0450, 0.7500, 0.8903)  1 Al 2.55, 3 Pd 2.74-2.82, 4 Au 2.79-2.81
Pd (0.1197, 0.2500, 0.6730)  3 Al 2.61-2.67, 3 Pd 2.75-2.80
Pd (0.1542, 0.7500, 0.1906)  8 Pd 2.72-2.82, 2 Al 2.81, 2 Au 2.88
Pd (0.2158, 0.7500, 0.4896)  3 Al 2.60-2.76, 3 Pd 2.72-2.80, 1 Au 2.86
Pd (0.3430, 0.2500, 0.2994)  1 Al 2.58, 2 Pd 2.76, 5 Au 2.77-2.89
Pd (0.4509, 0.7500, 0.0990)  5 Pd 2.75-2.93, 7 Au 2.80-2.90
Pd (0.5491, 0.2500, 0.9010)  5 Pd 2.75-2.93, 7 Au 2.80-2.90
Pd (0.6570, 0.7500, 0.7006)  1 Al 2.58, 2 Pd 2.76, 5 Au 2.77-2.89
Pd (0.7842, 0.2500, 0.5104)  3 Al 2.60-2.76, 3 Pd 2.72-2.80, 1 Au 2.86
Pd (0.8458, 0.2500, 0.8094)  8 Pd 2.72-2.82, 2 Al 2.81, 2 Au 2.88
Pd (0.8803, 0.7500, 0.3270)  3 Al 2.61-2.67, 3 Pd 2.75-2.80
Pd (0.9550, 0.2500, 0.1097)  1 Al 2.55, 3 Pd 2.74-2.82, 4 Au 2.79-2.81
Au (0.2465, 0.2500, 0.9914)  10 Pd 2.80-3.02, 2 Au 2.90
Au (0.3427, 0.7500, 0.7891)  8 Pd 2.79-2.96, 4 Au 2.87-2.90
Au (0.4456, 0.2500, 0.5961)  8 Pd 2.77-3.08, 4 Au 2.87-2.88
Au (0.5544, 0.7500, 0.4039)  8 Pd 2.77-3.08, 4 Au 2.87-2.88
Au (0.6573, 0.2500, 0.2109)  8 Pd 2.79-2.96, 4 Au 2.87-2.90
Au (0.7535, 0.7500, 0.0086)  10 Pd 2.80-3.02, 2 Au 2.90

Calculated values
* DFT formation energy: -0.3045 eV/atom
* symmetry: No. 11
* crystal system: monoclinic
* energy: -4.778 eV/atom

***

Entry 5:
Material: HgAu5
Method: DFT, PBE
State: relaxed

Lattice parameters (Å, degrees): 5.0566 5.0566 9.2207 90.00 90.00 107.89
Closest atoms and distances in Å follow each position.
Atoms (fractional coordinates):
Hg (0.2500, 0.7500, 0.8315)  12 Au 2.97-3.13
Hg (0.7500, 0.2500, 0.1685)  12 Au 2.97-3.13
Au (0.2500, 0.2500, 0.0000)  4 Hg 2.97, 8 Au 2.98-3.11
Au (0.2500, 0.2500, 0.3371)  10 Au 2.93-3.11, 2 Hg 2.97
Au (0.2500, 0.2500, 0.6629)  10 Au 2.93-3.11, 2 Hg 2.97
Au (0.2500, 0.7500, 0.1714)  9 Au 2.95-3.00, 3 Hg 2.98-3.13
Au (0.2500, 0.7500, 0.4969)  11 Au 2.93-3.00, 1 Hg 3.09
Au (0.7500, 0.2500, 0.5031)  11 Au 2.93-3.00, 1 Hg 3.09
Au (0.7500, 0.2500, 0.8286)  9 Au 2.95-3.00, 3 Hg 2.98-3.13
Au (0.7500, 0.7500, 0.0000)  4 Hg 2.97, 8 Au 2.98-3.11
Au (0.7500, 0.7500, 0.3371)  10 Au 2.93-3.11, 2 Hg 2.97
Au (0.7500, 0.7500, 0.6629)  10 Au 2.93-3.11, 2 Hg 2.97

Calculated values
* DFT formation energy: 0.0405 eV/atom
* symmetry: No. 67
* crystal system: orthorhombic
* energy: -2.741 eV/atom

***

Entry 6:
Material: Mg2ZrMnCl
Method: DFT, PBE
State: relaxed

Lattice parameters (Å, degrees): 5.8117 5.8117 4.8294 90.00 90.00 90.00
Closest atoms and distances in Å follow each position.
Atoms (fractional coordinates):
Mg (0.0000, 0.5000, 0.0000)  2 Zr 2.91
Mg (0.5000, 0.0000, 0.0000)  2 Zr 2.91
Zr (0.0000, 0.0000, 0.0000)  2 Cl 2.41
Mn (0.5000, 0.5000, 0.5000)  8 Mg 3.78, 4 Cl 4.11
Cl (0.0000, 0.0000, 0.5000)  2 Zr 2.41

Calculated values
* E_form (uncorrected): 3.764 eV per formula unit
* symmetry: No. 123
* crystal system: tetragonal
* energy: -3.798 eV/atom

***

Entry 7:
Material: Li2HRh
Method: DFT, PBE
State: relaxed

Lattice parameters (Å, degrees): 5.3226 5.3226 6.1896 90.00 90.00 90.00
Closest atoms and distances in Å follow each position.
Atoms (fractional coordinates):
Li (0.1170, 0.7500, 0.1250)  2 H 1.66
Li (0.2500, 0.1170, 0.8750)  2 H 1.66
Li (0.2500, 0.3830, 0.3750)  2 H 1.66
Li (0.3830, 0.7500, 0.6250)  2 H 1.66
Li (0.6170, 0.2500, 0.6250)  2 H 1.66
Li (0.7500, 0.6170, 0.3750)  2 H 1.66
Li (0.7500, 0.8830, 0.8750)  2 H 1.66
Li (0.8830, 0.2500, 0.1250)  2 H 1.66
H (0.0000, 0.0000, 0.0000)  4 Li 1.66
H (0.0000, 0.5000, 0.2500)  4 Li 1.66
H (0.5000, 0.0000, 0.7500)  4 Li 1.66
H (0.5000, 0.5000, 0.5000)  4 Li 1.66
Rh (0.0000, 0.0000, 0.5000)  8 Li 2.55-2.75
Rh (0.0000, 0.5000, 0.7500)  8 Li 2.55-2.75
Rh (0.5000, 0.0000, 0.2500)  8 Li 2.55-2.75
Rh (0.5000, 0.5000, 0.0000)  8 Li 2.55-2.75

Calculated values
* symmetry: No. 122
* crystal system: tetragonal
* energy: -3.472 eV/atom

***

Entry 8:
Material: NbTl3Os
Method: DFT, PBE
State: relaxed

Lattice parameters (Å, degrees): 5.1976 5.1976 5.1976 90.00 90.00 90.00
Closest atoms and distances in Å follow each position.
Atoms (fractional coordinates):
Nb (0.0000, 0.0000, 0.0000)  12 Tl 3.68
Tl (0.0000, 0.5000, 0.5000)  2 Os 2.60
Tl (0.5000, 0.0000, 0.5000)  2 Os 2.60
Tl (0.5000, 0.5000, 0.0000)  2 Os 2.60
Os (0.5000, 0.5000, 0.5000)  6 Tl 2.60

Calculated values
* DFT formation energy: 1.4703 eV/atom
* symmetry: No. 221
* crystal system: cubic
* energy: -4.209 eV/atom

***

Entry 9:
Material: PIr2Se
Method: DFT, PBE
State: relaxed

Lattice parameters (Å, degrees): 3.7147 3.7147 8.7080 90.00 90.00 90.00
Closest atoms and distances in Å follow each position.
Atoms (fractional coordinates):
P (0.0000, 0.0000, 0.0000)  8 Ir 2.63-2.86, 4 Se 2.86
P (0.5000, 0.5000, 0.5000)  8 Ir 2.63-2.86, 4 Se 2.86
Ir (0.0000, 0.0000, 0.5000)  4 P 2.63, 4 Se 2.86, 4 Ir 2.86
Ir (0.0000, 0.5000, 0.2500)  4 Se 2.63, 4 Ir 2.86, 4 P 2.86
Ir (0.5000, 0.0000, 0.7500)  4 Se 2.63, 4 Ir 2.86, 4 P 2.86
Ir (0.5000, 0.5000, 0.0000)  4 P 2.63, 4 Se 2.86, 4 Ir 2.86
Se (0.0000, 0.5000, 0.7500)  8 Ir 2.63-2.86, 4 P 2.86
Se (0.5000, 0.0000, 0.2500)  8 Ir 2.63-2.86, 4 P 2.86

Calculated values
* E_form (uncorrected): 2.031 eV per formula unit
* symmetry: No. 119
* crystal system: tetragonal
* energy: -6.146 eV/atom

***

Entry 10:
Material: SrFe2Se
Method: DFT, PBE
State: relaxed

Lattice parameters (Å, degrees): 3.6863 3.6863 6.2198 90.00 90.00 90.00
Closest atoms and distances in Å follow each position.
Atoms (fractional coordinates):
Sr (0.0000, 0.0000, 0.0000)  4 Se 3.06, 4 Fe 3.40
Fe (0.0000, 0.5000, 0.4596)  2 Se 2.54, 4 Fe 2.61
Fe (0.5000, 0.0000, 0.4596)  2 Se 2.54, 4 Fe 2.61
Se (0.5000, 0.5000, 0.7408)  4 Fe 2.54

Calculated values
* E_form (uncorrected): -0.530 eV per formula unit
* symmetry: No. 99
* crystal system: tetragonal
* energy: -5.655 eV/atom

***

Entry 11:
Material: AlSn2Bi2
Method: DFT, PBE
State: relaxed

Lattice parameters (Å, degrees): 7.1755 7.1755 5.8190 90.00 90.00 90.00
Closest atoms and distances in Å follow each position.
Atoms (fractional coordinates):
Al (0.0000, 0.0000, 0.0000)  4 Sn 2.76
Al (0.5000, 0.5000, 0.0000)  4 Sn 2.76
Sn (0.1436, 0.3564, 0.0000)  2 Al 2.76, 1 Sn 2.91
Sn (0.3564, 0.8564, 0.0000)  2 Al 2.76, 1 Sn 2.91
Sn (0.6436, 0.1436, 0.0000)  2 Al 2.76, 1 Sn 2.91
Sn (0.8564, 0.6436, 0.0000)  2 Al 2.76, 1 Sn 2.91
Bi (0.2353, 0.7353, 0.5000)  2 Sn 3.16
Bi (0.2647, 0.2353, 0.5000)  2 Sn 3.16
Bi (0.7353, 0.7647, 0.5000)  2 Sn 3.16
Bi (0.7647, 0.2647, 0.5000)  2 Sn 3.16

Calculated values
* DFT formation energy: 0.1865 eV/atom
* symmetry: No. 127
* crystal system: tetragonal
* energy: -3.716 eV/atom

***

Entry 12:
Material: ScTl
Method: DFT, PBE
State: relaxed

Lattice parameters (Å, degrees): 3.7096 5.5095 10.0549 90.00 90.00 90.00
Closest atoms and distances in Å follow each position.
Atoms (fractional coordinates):
Sc (0.0000, 0.2500, 0.1188)  6 Sc 3.02-3.32, 2 Tl 3.13
Sc (0.0000, 0.7500, 0.8812)  6 Sc 3.02-3.32, 2 Tl 3.13
Sc (0.5000, 0.2500, 0.8812)  6 Sc 3.02-3.32, 2 Tl 3.13
Sc (0.5000, 0.7500, 0.1188)  6 Sc 3.02-3.32, 2 Tl 3.13
Tl (0.0000, 0.2500, 0.6302)  2 Sc 3.13, 6 Tl 3.21-3.32
Tl (0.0000, 0.7500, 0.3698)  2 Sc 3.13, 6 Tl 3.21-3.32
Tl (0.5000, 0.2500, 0.3698)  2 Sc 3.13, 6 Tl 3.21-3.32
Tl (0.5000, 0.7500, 0.6302)  2 Sc 3.13, 6 Tl 3.21-3.32

Calculated values
* DFT formation energy: -0.0102 eV/atom
* symmetry: No. 67
* crystal system: orthorhombic
* energy: -4.359 eV/atom

***

- The lowest energy belongs to which entry?
  Hf2MnAu2

***

- energy of number 6 (Mg2ZrMnCl)?
  -3.798 eV/atom

***

Repeat the eleventh record exactly.
Material: AlSn2Bi2
Method: DFT, PBE
State: relaxed

Lattice parameters (Å, degrees): 7.1755 7.1755 5.8190 90.00 90.00 90.00
Closest atoms and distances in Å follow each position.
Atoms (fractional coordinates):
Al (0.0000, 0.0000, 0.0000)  4 Sn 2.76
Al (0.5000, 0.5000, 0.0000)  4 Sn 2.76
Sn (0.1436, 0.3564, 0.0000)  2 Al 2.76, 1 Sn 2.91
Sn (0.3564, 0.8564, 0.0000)  2 Al 2.76, 1 Sn 2.91
Sn (0.6436, 0.1436, 0.0000)  2 Al 2.76, 1 Sn 2.91
Sn (0.8564, 0.6436, 0.0000)  2 Al 2.76, 1 Sn 2.91
Bi (0.2353, 0.7353, 0.5000)  2 Sn 3.16
Bi (0.2647, 0.2353, 0.5000)  2 Sn 3.16
Bi (0.7353, 0.7647, 0.5000)  2 Sn 3.16
Bi (0.7647, 0.2647, 0.5000)  2 Sn 3.16

Calculated values
* DFT formation energy: 0.1865 eV/atom
* symmetry: No. 127
* crystal system: tetragonal
* energy: -3.716 eV/atom

***

- The lowest energy belongs to which entry?
  Hf2MnAu2